Density functional theory data (PBE) for CdCu3 after structural relaxation.

Cell: 4.9463 4.9463 4.9463 Å, 90.00 90.00 90.00°
Closest atoms and distances in Å follow each position.
Space group Pm-3m (No. 221)
Asymmetric unit:
Cd (0.0000, 0.0000, 0.0000) (multiplicity 1)  6 Cu 2.47
Cu (0.0000, 0.0000, 0.5000) (multiplicity 3)  2 Cd 2.47

Results
- formation energy from the elements (meV per atom) = 1247.7
- DOS at the Fermi energy (states/eV per atom) = 0.516



Density functional theory data (PBE) for Sr2GaNi2Pt5 after structural relaxation.

Cell: 9.5573 9.5573 3.8811 Å, 90.00 90.00 90.00°
Closest atoms and distances in Å follow each position.
Space group P4/mbm (No. 127)
Asymmetric unit:
Sr (0.1786, 0.3214, 0.0000) (multiplicity 4)  3 Ni 2.71-2.91
Ga (0.0000, 0.0000, 0.0000) (multiplicity 2)  8 Pt 2.82
Ni (0.1207, 0.6207, 0.0000) (multiplicity 4)  6 Pt 2.54-2.62, 1 Sr 2.71
Pt (0.0000, 0.5000, 0.5000) (multiplicity 2)  4 Ni 2.54
Pt (0.0601, 0.7940, 0.5000) (multiplicity 8)  2 Ni 2.62, 2 Ga 2.82, 3 Pt 2.87-2.90

Results
- formation energy from the elements (meV per atom) = -483.0
- DOS at the Fermi energy (states/eV per atom) = 0.872



Density functional theory data (PBE) for AlAuS2 after structural relaxation.

Cell: 3.5706 3.5706 14.3760 Å, 90.00 90.00 120.00°
Closest atoms and distances in Å follow each position.
Space group P6_3/mmc (No. 194)
Asymmetric unit:
Al (0.0000, 0.0000, 0.0000) (multiplicity 2)  6 S 2.42
Au (0.3333, 0.6667, 0.2500) (multiplicity 2)  2 S 2.32
S (0.3333, 0.6667, 0.0884) (multiplicity 4)  1 Au 2.32, 3 Al 2.42

Results
- energy relative to the elements, uncorrected (kJ/mol of formula units) = -277
- DOS at the Fermi energy (states/eV per atom) = 0.000



Density functional theory data (PBE) for Ba2LaPb after structural relaxation.

Cell: 5.0661 5.0661 26.0727 Å, 90.00 90.00 90.00°
Closest atoms and distances in Å follow each position.
Space group I-42d (No. 122)
Asymmetric unit:
Ba (0.2289, 0.2500, 0.1250) (multiplicity 8)  4 Ba 3.43-3.74, 2 Pb 3.68, 2 La 3.76
La (0.0000, 0.0000, 0.5000) (multiplicity 4)  4 Pb 3.58, 4 Ba 3.76
Pb (0.0000, 0.0000, 0.0000) (multiplicity 4)  4 La 3.58, 4 Ba 3.68

Results
- formation energy from the elements (meV per atom) = 3.7
- DOS at the Fermi energy (states/eV per atom) = 1.506



Density functional theory data (PBE) for Ba2LaBr after structural relaxation.

Cell: 4.2247 4.2247 34.7692 Å, 90.00 90.00 120.00°
Closest atoms and distances in Å follow each position.
Space group R-3m (No. 166, hexagonal axes)
Asymmetric unit:
Ba (0.0000, 0.0000, 0.2377) (multiplicity 6)  3 Br 3.47
La (0.0000, 0.0000, 0.0000) (multiplicity 3)  6 Ba 4.12, 6 La 4.22
Br (0.0000, 0.0000, 0.5000) (multiplicity 3)  6 Ba 3.47

Results
- energy relative to the elements, uncorrected (kJ/mol of formula units) = -250
- distance to the lowest polymorph of the same formula (eV per atom) = 0.000
- DOS at the Fermi energy (states/eV per atom) = 1.270



Density functional theory data (PBE) for Sm6Zn2O after structural relaxation.

Cell: 6.5817 7.0405 12.0652 Å, 90.00 122.54 90.00°
Closest atoms and distances in Å follow each position.
Space group P2_1/c (No. 14)
Asymmetric unit:
Sm (0.1238, 0.0137, 0.2422) (multiplicity 4)  1 O 2.58
Sm (0.2294, 0.7017, 0.0465) (multiplicity 4)  1 O 2.47
Sm (0.3583, 0.1926, 0.0469) (multiplicity 4)  1 O 2.51
Zn (0.3125, 0.0858, 0.7506) (multiplicity 4)  6 Sm 2.97-3.06
O (0.0000, 0.0000, 0.0000) (multiplicity 2)  6 Sm 2.47-2.58

Results
- energy relative to the elements, uncorrected (kJ/mol of formula units) = -613
- DOS at the Fermi energy (states/eV per atom) = 0.956



- What is the DOS at the Fermi energy in the fourth record?
  1.506 states/eV per atom